Below is In2CuS4 after structural relaxation, with properties calculated at the GGA-PBE level.

Computed properties:
- Calculated volume: 330.68 Å³ per cell
- Crystal system: tetragonal
- Uncorrected energy: -0.149 Ha/atom

Structure (CIF):
```
data_In2CuS4
_space_group_name_H-M_alt 'I -4'
_space_group_IT_number 82
_cell_length_a 5.439
_cell_length_b 5.439
_cell_length_c 11.178
_cell_angle_alpha 90.00
_cell_angle_beta 90.00
_cell_angle_gamma 90.00
loop_
_space_group_symop_operation_xyz
'x,y,z'
'y,-x,-z'
'-x,-y,z'
'-y,x,-z'
'x+1/2,y+1/2,z+1/2'
'y+1/2,-x+1/2,-z+1/2'
'-x+1/2,-y+1/2,z+1/2'
'-y+1/2,x+1/2,-z+1/2'
loop_
_atom_site_label
_atom_site_type_symbol
_atom_site_fract_x
_atom_site_fract_y
_atom_site_fract_z
In1 In 0.000 0.000 0.000
In2 In 0.000 0.500 0.250
Cu1 Cu 0.000 0.000 0.500
S1 S 0.213 0.255 0.627
```